Record 1
Material: KSrB2H8
Method: DFT, PBE
State: optimized geometry

Unit cell a=7.843 b=7.843 c=7.843 alpha=33.05 beta=33.05 gamma=33.05
Fractional coordinates of all 12 atoms:
K  0.000  0.000  0.000
Sr  0.500  0.500  0.500
B  0.245  0.245  0.245
B  0.755  0.755  0.755
H  0.074  0.074  0.529
H  0.074  0.529  0.074
H  0.300  0.300  0.300
H  0.471  0.926  0.926
H  0.529  0.074  0.074
H  0.700  0.700  0.700
H  0.926  0.471  0.926
H  0.926  0.926  0.471

Summary:
* calculated volume: 127.69 Å³ per cell
* VASP energy: -3.931 eV per atom
* DOS at the Fermi energy: 2.1 states/eV per cell
* total magnetization: 0.00 μB/atom

=====

Record 2
Material: KTi2BH
Method: DFT, PBE
State: optimized geometry

Unit cell a=4.640 b=4.640 c=4.220 alpha=90.00 beta=90.00 gamma=90.00
Fractional coordinates of all 5 atoms:
K  0.000  0.000  0.000
Ti  0.000  0.500  0.000
Ti  0.500  0.000  0.000
B  0.000  0.000  0.500
H  0.500  0.500  0.500

Summary:
* calculated volume: 90.85 Å³ per cell
* VASP energy: -2.446 eV per atom
* DOS at the Fermi energy: 5.3 states/eV per cell
* total magnetization: 0.40 μB/atom

=====

Record 3
Material: KTlB2H8
Method: DFT, PBE
State: optimized geometry

Unit cell a=8.088 b=8.088 c=8.088 alpha=34.62 beta=34.62 gamma=34.62
Fractional coordinates of all 12 atoms:
K  0.000  0.000  0.000
Tl  0.500  0.500  0.500
B  0.254  0.254  0.254
B  0.746  0.746  0.746
H  0.097  0.097  0.514
H  0.097  0.514  0.097
H  0.308  0.308  0.308
H  0.486  0.903  0.903
H  0.514  0.097  0.097
H  0.692  0.692  0.692
H  0.903  0.486  0.903
H  0.903  0.903  0.486

Summary:
* calculated volume: 152.40 Å³ per cell
* VASP energy: -3.890 eV per atom
* DOS at the Fermi energy: 0.0 states/eV per cell
* total magnetization: 0.00 μB/atom

=====

Record 4
Material: KZnB2H8
Method: DFT, PBE
State: optimized geometry

Unit cell a=4.702 b=4.702 c=7.113 alpha=93.69 beta=93.69 gamma=63.78
Fractional coordinates of all 12 atoms:
K  0.000  0.000  0.000
Zn  0.000  0.000  0.500
B  0.358  0.358  0.259
B  0.642  0.642  0.741
H  0.223  0.223  0.333
H  0.246  0.640  0.320
H  0.339  0.339  0.086
H  0.360  0.754  0.680
H  0.640  0.246  0.320
H  0.661  0.661  0.914
H  0.754  0.360  0.680
H  0.777  0.777  0.667

Summary:
* calculated volume: 140.68 Å³ per cell
* VASP energy: -3.643 eV per atom
* DOS at the Fermi energy: 1.9 states/eV per cell
* total magnetization: 0.00 μB/atom

=====

Record 5
Material: LaBH
Method: DFT, PBE
State: optimized geometry

Unit cell a=3.318 b=7.183 c=7.183 alpha=31.27 beta=90.00 gamma=90.00
Fractional coordinates of all 6 atoms:
La  0.000  0.000  0.000
La  0.500  0.247  0.247
B  0.000  0.650  0.650
B  0.500  0.603  0.603
H  0.000  0.383  0.383
H  0.500  0.508  0.508

Summary:
* calculated volume: 88.87 Å³ per cell
* excess energy over the best structure of this formula in the dataset: 13.6 kJ/mol of formula units
* DOS at the Fermi energy: 3.3 states/eV per cell
* total magnetization: 0.01 μB/atom

=====

Record 6
Material: LaB3H12
Method: DFT, PBE
State: optimized geometry

Unit cell a=8.210 b=8.210 c=8.210 alpha=59.68 beta=59.68 gamma=59.68
Fractional coordinates of all 32 atoms:
La  0.000  0.000  0.000
La  0.500  0.500  0.500
B  0.243  0.750  0.257
B  0.250  0.743  0.757
B  0.257  0.243  0.750
B  0.743  0.757  0.250
B  0.750  0.257  0.243
B  0.757  0.250  0.743
H  0.093  0.897  0.286
H  0.103  0.714  0.907
H  0.112  0.274  0.716
H  0.214  0.603  0.407
H  0.216  0.774  0.612
H  0.226  0.388  0.784
H  0.274  0.716  0.112
H  0.284  0.888  0.726
H  0.286  0.093  0.897
H  0.388  0.784  0.226
H  0.397  0.593  0.786
H  0.407  0.214  0.603
H  0.593  0.786  0.397
H  0.603  0.407  0.214
H  0.612  0.216  0.774
H  0.714  0.907  0.103
H  0.716  0.112  0.274
H  0.726  0.284  0.888
H  0.774  0.612  0.216
H  0.784  0.226  0.388
H  0.786  0.397  0.593
H  0.888  0.726  0.284
H  0.897  0.286  0.093
H  0.907  0.103  0.714

Summary:
* calculated volume: 388.48 Å³ per cell
* VASP energy: -4.408 eV per atom
* DOS at the Fermi energy: 0.0 states/eV per cell
* total magnetization: 0.00 μB/atom

=====

Repeat the third record exactly.
Material: KTlB2H8
Method: DFT, PBE
State: optimized geometry

Unit cell a=8.088 b=8.088 c=8.088 alpha=34.62 beta=34.62 gamma=34.62
Fractional coordinates of all 12 atoms:
K  0.000  0.000  0.000
Tl  0.500  0.500  0.500
B  0.254  0.254  0.254
B  0.746  0.746  0.746
H  0.097  0.097  0.514
H  0.097  0.514  0.097
H  0.308  0.308  0.308
H  0.486  0.903  0.903
H  0.514  0.097  0.097
H  0.692  0.692  0.692
H  0.903  0.486  0.903
H  0.903  0.903  0.486

Summary:
* calculated volume: 152.40 Å³ per cell
* VASP energy: -3.890 eV per atom
* DOS at the Fermi energy: 0.0 states/eV per cell
* total magnetization: 0.00 μB/atom

=====

Q: Among the records above, which one has the lowest calculated volume?
A: LaBH

=====

Q: Which value of calculated volume does entry 2 give?
A: 90.85 Å³ per cell